VASP calculation (PBE) on a relaxed IrRhW2 crystal.

The structure in extended XYZ format:
```
4
Lattice="2.763 0.000 0.000 0.000 3.939 0.000 0.000 0.000 5.554" Properties=species:S:1:pos:R:3 pbc="T T T"
Ir 1.381 1.969 1.388
Rh 1.381 1.969 4.165
W 0.000 0.000 2.773
W 0.000 0.000 0.004
```

Summary:
distance to the lowest polymorph of the same formula	6.4	meV/atom
energy of formation	-227	meV per atom
total magnetization	0.000	Bohr magnetons per cell
raw total energy	-10.76	eV/atom



VASP calculation (PBE) on a relaxed LiNd2Si4Pt3 crystal.

The structure in extended XYZ format:
```
10
Lattice="-0.152 -4.195 0.629 1.023 -0.647 -4.068 9.681 0.013 2.432" Properties=species:S:1:pos:R:3 pbc="T T T"
Si 0.000 0.000 0.000
Si 4.049 -0.319 -1.146
Si 6.067 -2.089 1.858
Si 0.435 -2.421 -1.720
Nd 7.779 -0.314 -0.209
Nd 2.337 -2.094 0.921
Pt 1.673 -0.322 -1.742
Pt 8.443 -2.086 2.455
Pt 4.840 0.006 1.216
Li 5.276 -2.415 -0.504
```

Summary:
total magnetization	0.000	Bohr magnetons per cell
formation energy from raw total energies	-96	kJ per mole of atoms
raw total energy	-6.13	eV/atom



VASP calculation (PBE) on a relaxed PbSICl2 crystal.

The structure in extended XYZ format:
```
5
Lattice="5.257 0.000 0.000 0.000 5.257 0.000 0.000 0.000 5.740" Properties=species:S:1:pos:R:3 pbc="T T T"
Pb 0.000 0.000 0.000
Cl 2.628 0.000 0.000
Cl 0.000 2.628 0.000
I 2.628 2.628 2.870
S 0.000 0.000 2.870
```

Summary:
distance to the lowest polymorph of the same formula	0.0	meV/atom
total magnetization	0.000	Bohr magnetons per cell
formation energy from raw total energies	0	kJ per mole of atoms
raw total energy	-2.62	eV/atom



VASP calculation (PBE) on a relaxed ZrFe6P crystal.

The structure in extended XYZ format:
```
16
Lattice="-1.494 3.850 2.701 0.117 -4.758 1.916 10.014 -0.787 0.829" Properties=species:S:1:pos:R:3 pbc="T T T"
Fe 4.156 -0.890 1.489
Fe -0.335 -1.633 2.931
Fe 1.071 -1.405 1.019
Fe 7.615 1.940 3.498
Fe 4.481 -0.805 3.956
Fe 2.556 -1.880 2.998
Fe 1.022 -3.634 1.948
Fe 7.566 -0.290 4.426
Fe 4.326 1.631 2.991
Fe 4.311 -3.326 2.455
Fe 6.081 0.185 2.448
Fe 8.972 -0.062 2.515
P 7.366 -0.586 0.821
P 1.270 -1.109 4.625
Zr 1.648 0.787 2.643
Zr 6.989 -2.482 2.803
```

Summary:
energy of formation	-143	meV per atom
total magnetization	23.121	Bohr magnetons per cell
raw total energy	-8.23	eV/atom



VASP calculation (PBE) on a relaxed TaCuPd4 crystal.

The structure in extended XYZ format:
```
6
Lattice="3.530 0.000 1.021 2.003 4.552 -0.311 0.158 -1.749 6.065" Properties=species:S:1:pos:R:3 pbc="T T T"
Cu 2.846 1.401 3.388
Pd 4.084 0.846 5.720
Pd 4.452 3.275 4.448
Pd 1.608 1.956 1.055
Pd 1.240 -0.473 2.327
Ta 0.000 0.000 0.000
```

Summary:
distance to the lowest polymorph of the same formula	0.0	meV/atom
energy of formation	-336	meV per atom
total magnetization	0.000	Bohr magnetons per cell
raw total energy	-6.46	eV/atom



VASP calculation (PBE) on a relaxed Pr6Al2Ag crystal.

The structure in extended XYZ format:
```
18
Lattice="-0.125 -3.676 3.658 3.464 -6.833 -6.749 9.601 2.280 2.619" Properties=species:S:1:pos:R:3 pbc="T T T"
Pr 7.355 -3.485 -3.251
Pr 10.566 -2.276 -1.927
Pr 6.569 -6.962 -3.094
Pr 2.954 -7.374 -3.631
Pr 6.371 -1.268 2.622
Pr 4.777 -4.666 -0.848
Pr 11.112 -8.514 -0.821
Pr 5.585 -4.745 2.779
Pr 9.986 -0.855 3.159
Pr 1.828 0.285 0.349
Pr 2.374 -5.953 1.455
Pr 8.163 -3.564 0.376
Al 8.600 -3.904 3.726
Al 9.428 -5.712 -1.741
Al 3.512 -2.517 1.269
Al 4.340 -4.325 -4.198
Ag 1.669 -5.255 -1.546
Ag 4.801 1.140 1.309
```

Summary:
energy of formation	-164	meV per atom
total magnetization	0.000	Bohr magnetons per cell
raw total energy	-4.50	eV/atom